Record 1
Computed, not measured: Na2ZrSO8 after structural relaxation at the PBE-GGA level of DFT.

Values from the calculation:
SG: P-3m1
Electronic total energy, eV/atom: -5.542
Formation energy from raw total energies, eV/atom: -0.9601

The structure in POSCAR format:
```
Na2ZrSO8
1.0
-2.031 -2.651 4.299
1.974 -2.792 -4.236
5.035 -0.025 2.363
O Na S Zr
8 2 1 1
Cartesian
3.793 -4.302 2.585 O
1.185 -1.166 -0.159 O
2.654 -2.692 5.029 O
3.274 -2.758 -0.154 O
2.324 -2.777 -2.603 O
3.826 -1.162 2.549 O
1.705 -2.710 2.581 O
1.153 -4.306 -0.123 O
5.314 -2.768 0.803 Na
-0.336 -2.700 1.623 Na
0.000 0.000 0.000 S
2.518 -0.013 1.182 Zr
```

***

Record 2
Computed, not measured: NaZrSO5 after structural relaxation at the PBE-GGA level of DFT.

Values from the calculation:
SG: C2/c
Electronic total energy, eV/atom: -6.765
Formation energy from raw total energies, eV/atom: -1.9170

The structure in POSCAR format:
```
NaZrSO5
1.0
5.822 0.165 -0.079
-1.542 5.616 -0.079
-1.875 -2.533 6.871
S O Zr Na
2 10 2 2
Cartesian
2.977 1.290 1.639 S
-0.573 1.958 5.075 S
-1.394 4.526 1.639 O
3.074 -0.018 2.365 O
2.684 2.383 2.610 O
-0.670 3.267 4.349 O
0.558 1.996 6.046 O
4.257 1.580 0.914 O
-1.853 1.668 5.800 O
1.846 1.252 0.668 O
3.798 -1.278 5.075 O
-0.279 0.865 4.104 O
0.000 0.000 0.000 Zr
-0.938 -1.266 3.436 Zr
1.979 0.069 5.075 Na
0.426 3.179 1.639 Na
```

***

Record 3
Computed, not measured: NaZrS2O8 after structural relaxation at the PBE-GGA level of DFT.

Values from the calculation:
SG: P-3m1
Electronic total energy, eV/atom: -6.584
Formation energy from raw total energies, eV/atom: -1.7688

The structure in POSCAR format:
```
NaZrS2O8
1.0
-3.200 3.723 -2.069
2.565 -3.391 -3.210
-5.429 -4.459 0.372
O Na S Zr
8 1 2 1
Cartesian
-1.397 1.254 -2.441 O
-3.436 -3.665 -1.277 O
-2.336 -0.616 -1.219 O
-3.798 1.086 -2.162 O
-2.265 -5.213 -2.746 O
-3.728 -3.511 -3.689 O
-2.627 -0.462 -3.631 O
-4.667 -5.381 -2.466 O
0.000 0.000 0.000 Na
-3.551 -4.465 -2.543 S
-2.513 0.338 -2.365 S
-2.715 -2.230 0.186 Zr
```

***

Record 4
Computed, not measured: NaSb3O8 after structural relaxation at the PBE-GGA level of DFT.

Values from the calculation:
SG: P2_1/c
Electronic total energy, eV/atom: -5.877
Formation energy from raw total energies, eV/atom: -1.4305

The structure in POSCAR format:
```
NaSb3O8
1.0
4.879 0.000 0.000
0.000 5.765 0.007
0.000 1.354 10.591
O Na Sb
16 2 6
Cartesian
1.732 4.529 0.853 O
3.894 6.009 1.974 O
3.865 5.292 9.705 O
1.346 4.108 8.765 O
3.148 2.589 9.745 O
1.426 2.503 6.189 O
1.014 1.826 0.893 O
4.172 1.913 4.450 O
3.533 3.010 1.834 O
3.454 4.615 4.410 O
0.985 1.109 8.625 O
0.708 5.206 6.148 O
1.094 3.431 3.469 O
3.425 6.686 7.269 O
3.786 3.687 7.129 O
1.454 0.432 3.329 O
0.000 0.000 0.000 Na
2.440 0.677 5.295 Na
2.440 2.882 0.004 Sb
2.316 2.407 7.945 Sb
0.123 1.730 2.650 Sb
4.756 5.388 7.948 Sb
0.000 3.559 5.299 Sb
2.563 4.711 2.653 Sb
```

***

Record 5
Computed, not measured: NaSb2O6 after structural relaxation at the PBE-GGA level of DFT.

Values from the calculation:
SG: P-3
Electronic total energy, eV/atom: -5.397
Formation energy from raw total energies, eV/atom: -1.0293

The structure in POSCAR format:
```
NaSb2O6
1.0
2.927 0.000 0.000
0.000 6.376 0.000
0.000 -3.188 5.522
Sb O Na
2 6 1
Cartesian
2.198 0.000 3.681 Sb
0.729 3.188 1.841 Sb
0.733 -0.911 4.837 O
0.733 1.457 3.892 O
2.194 1.732 1.630 O
2.194 4.099 0.684 O
2.194 3.734 3.207 O
0.733 -0.546 2.315 O
1.463 0.000 0.000 Na
```

***

Record 6
Computed, not measured: NaSbO3 after structural relaxation at the PBE-GGA level of DFT.

Values from the calculation:
SG: Amm2
Electronic total energy, eV/atom: -5.430
Formation energy from raw total energies, eV/atom: -1.3672

The structure in POSCAR format:
```
NaSbO3
1.0
2.809 0.000 0.000
0.000 5.197 2.991
0.000 0.014 5.990
O Na Sb
3 1 1
Cartesian
2.023 1.267 1.965 O
2.023 4.219 3.663 O
2.023 1.278 5.365 O
0.618 2.255 3.661 Na
0.619 0.517 0.670 Sb
```

***

Record 7
Computed, not measured: Na3SbO4 after structural relaxation at the PBE-GGA level of DFT.

Values from the calculation:
SG: Pmn2_1
Electronic total energy, eV/atom: -5.094
Formation energy from raw total energies, eV/atom: -1.6049

The structure in POSCAR format:
```
Na3SbO4
1.0
5.745 0.000 0.000
0.000 6.341 0.000
0.000 0.000 7.353
Na O Sb
6 8 2
Cartesian
2.931 2.088 5.485 Na
2.931 2.088 1.869 Na
2.937 5.320 0.000 Na
0.059 4.253 5.545 Na
0.059 4.253 1.808 Na
0.065 1.021 3.677 Na
3.478 4.342 2.104 O
0.606 2.000 1.573 O
0.598 5.614 0.000 O
3.478 4.342 5.250 O
3.471 0.728 3.677 O
3.838 1.124 0.000 O
0.965 5.217 3.677 O
0.606 2.000 5.780 O
2.875 5.252 3.677 Sb
0.002 1.089 0.000 Sb
```

***

Record 8
Computed, not measured: NaSb6O12 after structural relaxation at the PBE-GGA level of DFT.

Values from the calculation:
SG: R-3m
Electronic total energy, eV/atom: -5.448
Formation energy from raw total energies, eV/atom: -0.9451

The structure in POSCAR format:
```
NaSb6O12
1.0
6.741 0.005 0.006
-1.667 6.532 0.006
-1.667 -2.147 6.169
O Sb Na
12 6 1
Cartesian
1.938 0.216 2.719 O
4.924 3.019 0.730 O
1.470 1.894 5.082 O
1.704 5.519 0.730 O
1.938 2.496 1.100 O
1.704 -1.129 5.451 O
3.679 2.459 3.463 O
1.470 4.174 3.463 O
4.924 -0.305 3.091 O
-1.516 1.371 5.451 O
-1.516 4.695 3.091 O
-0.271 1.931 2.719 O
0.104 3.386 4.769 Sb
0.153 3.449 1.413 Sb
0.153 0.197 3.722 Sb
3.255 4.192 2.459 Sb
3.255 0.940 4.769 Sb
3.304 1.003 1.413 Sb
0.000 0.000 0.000 Na
```

***

Record 9
Computed, not measured: Na3SbO after structural relaxation at the PBE-GGA level of DFT.

Values from the calculation:
SG: Pm-3m
Electronic total energy, eV/atom: -2.428
Formation energy from raw total energies, eV/atom: 0.1795

The structure in POSCAR format:
```
Na3SbO
1.0
-0.138 4.848 -3.339
-4.485 -2.251 -3.082
-3.814 2.471 3.745
Na O Sb
3 1 1
Cartesian
-2.242 -1.125 -1.541 Na
-1.907 1.235 1.873 Na
-0.069 2.424 -1.670 Na
-4.218 2.534 -1.338 O
0.000 0.000 0.000 Sb
```

***

Record 10
Computed, not measured: NaSb3O after structural relaxation at the PBE-GGA level of DFT.

Values from the calculation:
SG: Pm-3m
Electronic total energy, eV/atom: -2.533
Formation energy from raw total energies, eV/atom: 1.1958

The structure in POSCAR format:
```
NaSb3O
1.0
-3.676 -2.998 -2.446
2.897 -4.369 1.003
-2.566 -0.637 4.636
Sb Na O
3 1 1
Cartesian
-1.838 -1.499 -1.223 Sb
-1.283 -0.318 2.318 Sb
1.448 -2.184 0.502 Sb
0.000 0.000 0.000 Na
-1.672 -4.002 1.597 O
```

***

Record 11
Computed, not measured: NaSbO3 after structural relaxation at the PBE-GGA level of DFT.

Values from the calculation:
SG: C2/c
Electronic total energy, eV/atom: -5.603
Formation energy from raw total energies, eV/atom: -1.5396

The structure in POSCAR format:
```
NaSbO3
1.0
5.515 -0.002 -0.009
2.699 4.809 -0.009
2.701 1.581 8.988
Sb Na O
4 4 12
Cartesian
5.429 4.793 6.732 Sb
5.487 1.595 2.238 Sb
2.700 3.195 4.490 Sb
2.758 -0.001 -0.004 Sb
8.246 3.215 7.779 Na
5.491 4.824 3.285 Na
5.425 1.564 5.686 Na
2.670 3.173 1.192 Na
3.797 2.220 3.121 O
4.395 0.958 0.670 O
4.339 4.153 5.164 O
7.119 4.169 5.849 O
5.146 3.014 7.615 O
6.521 5.431 8.300 O
9.253 5.418 7.603 O
3.011 1.765 5.862 O
7.905 4.624 3.109 O
1.663 0.970 1.367 O
5.770 3.375 1.355 O
6.577 2.235 3.806 O
```

***

Record 12
Computed, not measured: Na2Sb4O11 after structural relaxation at the PBE-GGA level of DFT.

Values from the calculation:
SG: R-3c
Electronic total energy, eV/atom: -5.813
Formation energy from raw total energies, eV/atom: -1.4795

The structure in POSCAR format:
```
Na2Sb4O11
1.0
12.573 0.002 0.001
10.983 6.120 0.001
10.983 2.854 5.413
O Na Sb
22 4 8
Cartesian
12.398 2.428 4.023 O
19.618 7.520 2.753 O
14.025 3.645 2.199 O
20.028 4.362 5.370 O
12.011 5.384 1.588 O
14.921 1.456 2.663 O
15.854 5.917 2.436 O
16.729 3.345 1.121 O
20.514 5.331 3.217 O
3.244 0.843 0.509 O
14.510 4.615 0.046 O
20.797 3.826 1.355 O
13.113 1.939 0.273 O
22.141 6.548 1.393 O
18.684 3.059 2.980 O
18.298 5.549 1.317 O
21.426 7.037 5.143 O
13.742 5.150 4.061 O
17.810 5.631 4.295 O
31.294 8.133 4.907 O
16.241 3.427 4.099 O
22.527 3.592 3.828 O
5.797 1.507 0.909 Na
11.472 2.981 1.799 Na
23.067 5.995 3.617 Na
28.741 7.470 4.507 Na
13.902 5.706 2.117 Sb
14.921 2.705 0.592 Sb
0.000 0.000 0.000 Sb
19.618 6.271 4.824 Sb
20.189 6.167 1.355 Sb
20.637 3.271 3.299 Sb
14.350 2.810 4.061 Sb
17.269 4.488 2.708 Sb
```

***

Record 13
Computed, not measured: NaSbO3 after structural relaxation at the PBE-GGA level of DFT.

Values from the calculation:
SG: Pm-3m
Electronic total energy, eV/atom: -3.936
Formation energy from raw total energies, eV/atom: 0.1271

The structure in POSCAR format:
```
NaSbO3
1.0
3.965 0.000 0.000
0.000 3.965 0.000
0.000 0.000 3.965
Sb Na O
1 1 3
Cartesian
1.982 1.982 1.982 Sb
0.000 0.000 0.000 Na
0.000 1.982 0.000 O
0.000 0.000 1.982 O
1.982 0.000 0.000 O
```

***

Record 14
Computed, not measured: NaSbO3 after structural relaxation at the PBE-GGA level of DFT.

Values from the calculation:
SG: Pm-3m
Electronic total energy, eV/atom: -5.523
Formation energy from raw total energies, eV/atom: -1.4598

The structure in POSCAR format:
```
NaSbO3
1.0
-3.256 -2.120 0.510
0.918 -0.501 3.777
-1.978 3.258 0.913
O Sb Na
3 1 1
Cartesian
-1.628 -1.060 0.255 O
0.459 -0.251 1.888 O
-0.989 1.629 0.456 O
0.000 0.000 0.000 Sb
-2.158 0.318 2.600 Na
```

***

Record 15
Computed, not measured: NaSb2O6 after structural relaxation at the PBE-GGA level of DFT.

Values from the calculation:
SG: P2_1/c
Electronic total energy, eV/atom: -5.436
Formation energy from raw total energies, eV/atom: -1.0676

The structure in POSCAR format:
```
NaSb2O6
1.0
-4.396 1.870 -0.208
-0.274 -0.083 5.043
4.433 10.437 0.413
O Na Sb
12 2 4
Cartesian
-0.120 9.664 0.754 O
-0.027 8.735 3.274 O
2.541 9.547 1.406 O
-1.891 5.259 1.403 O
1.573 7.119 1.300 O
-2.860 2.830 1.323 O
1.654 6.965 3.845 O
-0.210 3.489 1.974 O
2.623 9.394 3.925 O
-0.117 2.560 4.494 O
-1.810 5.105 3.948 O
-2.778 2.677 3.842 O
0.000 0.000 0.000 Na
-0.119 6.112 2.624 Na
1.101 8.568 4.998 Sb
-3.206 4.317 2.689 Sb
-1.338 3.656 0.250 Sb
2.969 7.907 2.558 Sb
```

***

Record 16
Computed, not measured: Na2Sb4O7 after structural relaxation at the PBE-GGA level of DFT.

Values from the calculation:
SG: C2/c
Electronic total energy, eV/atom: -5.623
Formation energy from raw total energies, eV/atom: -1.4818

The structure in POSCAR format:
```
Na2Sb4O7
1.0
-3.304 -9.727 0.407
10.179 0.691 1.265
0.869 -1.576 5.475
O Sb Na
14 8 4
Cartesian
1.554 -6.272 5.951 O
-0.623 -4.524 2.720 O
3.004 -9.108 1.376 O
3.050 -4.056 5.467 O
4.758 -2.673 3.445 O
5.458 -7.089 4.439 O
2.286 -3.523 2.708 O
2.986 -7.939 3.702 O
6.189 -4.340 1.197 O
4.740 -1.504 5.771 O
4.694 -6.555 1.681 O
6.736 -3.654 5.111 O
8.367 -6.088 4.428 O
1.007 -6.957 2.036 O
6.331 -1.756 4.560 Sb
8.424 -4.562 5.744 Sb
1.413 -8.855 2.588 Sb
0.762 -3.014 1.529 Sb
3.032 -2.384 4.383 Sb
6.982 -7.597 5.619 Sb
-0.680 -6.049 1.404 Sb
4.712 -8.228 2.764 Sb
5.651 -4.949 3.380 Na
3.534 -7.708 5.955 Na
2.093 -5.662 3.768 Na
4.210 -2.903 1.192 Na
```

***

Record 17
Computed, not measured: Na4SbO after structural relaxation at the PBE-GGA level of DFT.

Values from the calculation:
SG: C2/m
Electronic total energy, eV/atom: -3.089
Formation energy from raw total energies, eV/atom: -0.6967

The structure in POSCAR format:
```
Na4SbO
1.0
6.286 0.000 -0.454
0.000 6.481 0.000
-2.352 -3.240 7.229
Na Sb O
8 2 2
Cartesian
3.589 4.547 1.045 Na
0.345 -1.307 5.730 Na
3.589 1.934 1.045 Na
0.000 4.686 0.000 Na
2.815 0.000 4.151 Na
1.119 3.240 2.624 Na
0.000 1.795 0.000 Na
0.345 1.307 5.730 Na
-0.737 0.000 3.047 Sb
4.671 3.240 3.728 Sb
2.189 0.000 6.349 O
1.745 3.240 0.426 O
```

***

Record 18
Computed, not measured: NaSbO3 after structural relaxation at the PBE-GGA level of DFT.

Values from the calculation:
SG: Pnma
Electronic total energy, eV/atom: -5.614
Formation energy from raw total energies, eV/atom: -1.5503

The structure in POSCAR format:
```
NaSbO3
1.0
5.474 0.000 0.000
0.000 5.537 0.000
0.000 0.000 7.793
Sb O Na
4 12 4
Cartesian
2.737 0.000 0.000 Sb
2.737 0.000 3.897 Sb
0.000 2.769 3.897 Sb
0.000 2.769 0.000 Sb
4.985 2.909 5.845 O
0.490 2.628 1.948 O
4.369 4.404 3.538 O
4.369 4.404 0.359 O
3.843 1.636 0.359 O
1.631 3.901 7.435 O
1.106 1.133 7.435 O
1.631 3.901 4.256 O
2.247 5.397 1.948 O
3.227 0.140 5.845 O
1.106 1.133 4.256 O
3.843 1.636 3.538 O
2.694 2.554 5.845 Na
0.044 5.322 5.845 Na
5.431 0.215 1.948 Na
2.781 2.983 1.948 Na
```